No. 1
GGA-PBEsol Li7Fe3W2O16, optimized geometry; SG = Cm (8); formation energy (no corrections) = -50.906 eV per formula unit
1.0
5.6491 0.0000 0.0000
-2.8246 5.0470 -0.0354
0.0000 -0.1844 9.4104
Li O Fe W
7 16 3 2
Direct
0.1741 0.8387 0.2098 Li
0.3270 0.6541 0.9080 Li
0.6646 0.8387 0.2098 Li
0.6666 0.3331 0.4055 Li
0.0078 0.0156 0.9955 Li
0.0007 0.0014 0.4863 Li
0.8289 0.6578 0.7110 Li
0.1584 0.3167 0.6111 O
0.8352 0.6705 0.0668 O
0.9545 0.4479 0.8398 O
0.4934 0.4479 0.8398 O
0.0173 0.0347 0.2973 O
0.4862 0.9725 0.3569 O
0.1730 0.8340 0.5938 O
0.0349 0.4962 0.3526 O
0.6611 0.8340 0.5938 O
0.5161 0.0322 0.8358 O
0.6512 0.3024 0.6102 O
0.3488 0.1924 0.0931 O
0.3145 0.6290 0.1154 O
0.8437 0.1924 0.0931 O
0.0080 0.0160 0.8025 O
0.4613 0.4962 0.3526 O
0.1744 0.3488 0.2227 Fe
0.3397 0.1720 0.7159 Fe
0.8323 0.1720 0.7159 Fe
0.6716 0.3432 0.9951 W
0.3541 0.7081 0.4775 W

***

No. 2
GGA-PBEsol K3BaTe, optimized geometry; SG = Pm-3m (221); formation energy (no corrections) = -1.534 eV per formula unit
1.0
-4.6753 -4.5215 1.6043
4.7976 -4.3912 1.6050
-0.0317 2.2691 6.3029
Ba K Te
1 3 1
Direct
0.5000 0.5000 0.5000 Ba
0.5000 0.0000 0.0000 K
0.0000 0.0000 0.5000 K
0.0000 0.5000 0.0000 K
0.0000 0.0000 0.0000 Te

***

No. 3
GGA-PBEsol Sr5Ag, optimized geometry; energy relative to the lowest polymorph listed for this composition = 25 meV/atom; SG = Cm (8)
1.0
4.0869 0.0000 0.0000
-2.0434 6.9906 -0.0640
0.0000 -3.5776 9.2101
Sr Ag
5 1
Direct
0.5965 0.1929 0.8197 Sr
0.3475 0.6949 0.0685 Sr
0.9721 0.9442 0.4440 Sr
0.2987 0.5975 0.6552 Sr
0.6455 0.2911 0.2334 Sr
0.9730 0.9460 0.9458 Ag

***

No. 4
GGA-PBEsol SrCa3V4O12, optimized geometry; SG = Pm (6); formation energy (no corrections) = -56.204 eV per formula unit
1.0
-0.5139 5.2605 0.6911
-2.8072 0.3184 -4.5116
-6.3434 -1.1278 3.8674
O Ca Sr V
12 3 1 4
Direct
0.7261 0.2736 0.2392 O
0.2764 0.7231 0.7275 O
0.2764 0.7231 0.2725 O
0.7755 0.7757 0.2799 O
0.0065 0.4538 0.5000 O
0.7755 0.7757 0.7201 O
0.2196 0.2197 0.7769 O
0.7261 0.2736 0.7608 O
0.4816 0.0472 0.5000 O
0.2196 0.2197 0.2231 O
0.5172 0.9664 0.0000 O
0.9926 0.5466 0.0000 O
0.0210 0.9989 0.5000 Ca
0.9782 0.9998 0.0000 Ca
0.5230 0.5063 0.5000 Ca
0.4862 0.4969 0.0000 Sr
0.0001 0.4987 0.7477 V
0.4991 0.0013 0.2523 V
0.4991 0.0013 0.7477 V
0.0001 0.4987 0.2523 V

***

No. 5
GGA-PBEsol NbSi3Te, optimized geometry; energy relative to the lowest polymorph listed for this composition = 1037 meV/atom; SG = Pm-3m (221); formation energy (no corrections) = 9.023 eV per formula unit
1.0
4.9817 0.0000 0.0000
0.0000 4.9817 0.0000
0.0000 0.0000 4.9817
Si Nb Te
3 1 1
Direct
0.0000 0.0000 0.5000 Si
0.5000 0.0000 0.0000 Si
0.0000 0.5000 0.0000 Si
0.5000 0.5000 0.5000 Nb
0.0000 0.0000 0.0000 Te

***

No. 6
GGA-PBEsol Rb2HF, optimized geometry; energy relative to the lowest polymorph listed for this composition = 3 meV/atom; SG = I-42d (122)
1.0
6.3287 0.0000 0.0000
0.0000 6.3287 0.0000
-3.1644 -3.1644 6.2591
F H Rb
2 2 4
Direct
0.0000 0.0000 0.0000 F
0.2500 0.7500 0.5000 F
0.5000 0.5000 0.0000 H
0.7500 0.2500 0.5000 H
0.6250 0.6424 0.7500 Rb
0.1250 0.1076 0.7500 Rb
0.8924 0.3750 0.2500 Rb
0.3576 0.8750 0.2500 Rb